[1]
# CaMnMo2 (GGA-PBE, optimized geometry)
# DFT formation energy	612.2	meV per atom
# energy relative to the lowest polymorph listed for this composition	178	meV per atom
data_CaMnMo2
_space_group_name_H-M_alt 'I m m m'
_space_group_IT_number 71
_space_group_name_Hall '-I 2 2'
_cell_length_a 3.028
_cell_length_b 4.701
_cell_length_c 9.509
_cell_angle_alpha 90.00
_cell_angle_beta 90.00
_cell_angle_gamma 90.00
loop_
_atom_site_label
_atom_site_type_symbol
_atom_site_fract_x
_atom_site_fract_y
_atom_site_fract_z
_atom_site_occupancy
Ca1 Ca 0.000 0.000 0.000 1
Mn1 Mn 0.000 0.000 0.500 1
Mo1 Mo 0.000 0.500 0.224 1

***

[2]
# CaMnMo2 (GGA-PBE, optimized geometry)
# DFT formation energy	608.8	meV per atom
# energy relative to the lowest polymorph listed for this composition	175	meV per atom
data_CaMnMo2
_space_group_name_H-M_alt 'C 1 2/m 1'
_space_group_IT_number 12
_space_group_name_Hall '-C 2y'
_cell_length_a 9.887
_cell_length_b 3.057
_cell_length_c 5.086
_cell_angle_alpha 90.00
_cell_angle_beta 107.64
_cell_angle_gamma 90.00
loop_
_atom_site_label
_atom_site_type_symbol
_atom_site_fract_x
_atom_site_fract_y
_atom_site_fract_z
_atom_site_occupancy
Ca1 Ca 0.000 0.000 0.000 1
Mn1 Mn 0.000 0.500 0.500 1
Mo1 Mo 0.208 0.000 0.660 1

***

[3]
# CaMnMo2 (GGA-PBE, optimized geometry)
# DFT formation energy	434.2	meV per atom
# energy relative to the lowest polymorph listed for this composition	0	meV per atom
data_CaMnMo2
_space_group_name_H-M_alt 'P 4 m m'
_space_group_IT_number 99
_space_group_name_Hall 'P 4 -2'
_cell_length_a 3.230
_cell_length_b 3.230
_cell_length_c 7.395
_cell_angle_alpha 90.00
_cell_angle_beta 90.00
_cell_angle_gamma 90.00
loop_
_atom_site_label
_atom_site_type_symbol
_atom_site_fract_x
_atom_site_fract_y
_atom_site_fract_z
_atom_site_occupancy
Ca1 Ca 0.000 0.000 0.000 1
Mn1 Mn 0.500 0.500 0.316 1
Mo1 Mo 0.000 0.000 0.510 1
Mo2 Mo 0.500 0.500 0.693 1

***

[4]
# CaMnMo2 (GGA-PBE, optimized geometry)
# DFT formation energy	537.7	meV per atom
# energy relative to the lowest polymorph listed for this composition	104	meV per atom
data_CaMnMo2
_space_group_name_H-M_alt 'P 1 m 1'
_space_group_IT_number 6
_space_group_name_Hall 'P -2y'
_cell_length_a 2.838
_cell_length_b 4.265
_cell_length_c 6.336
_cell_angle_alpha 90.00
_cell_angle_beta 101.06
_cell_angle_gamma 90.00
loop_
_atom_site_label
_atom_site_type_symbol
_atom_site_fract_x
_atom_site_fract_y
_atom_site_fract_z
_atom_site_occupancy
Ca1 Ca 0.000 0.000 0.000 1
Mn1 Mn 0.732 0.500 0.306 1
Mo1 Mo 0.247 0.500 0.687 1
Mo2 Mo 0.437 0.000 0.501 1

***

[5]
# CaMnMo2 (GGA-PBE, optimized geometry)
# DFT formation energy	643.6	meV per atom
# energy relative to the lowest polymorph listed for this composition	209	meV per atom
data_CaMnMo2
_space_group_name_H-M_alt 'R 3 m'
_space_group_IT_number 160
_space_group_name_Hall 'R 3 -2"'
_cell_length_a 3.1117
_cell_length_b 3.1117
_cell_length_c 27.4278
_cell_angle_alpha 90.00
_cell_angle_beta 90.00
_cell_angle_gamma 120.00
loop_
_atom_site_label
_atom_site_type_symbol
_atom_site_fract_x
_atom_site_fract_y
_atom_site_fract_z
_atom_site_occupancy
Ca1 Ca 0.0000 0.0000 0.0000 1
Mn1 Mn 0.0000 0.0000 0.2353 1
Mo1 Mo 0.0000 0.0000 0.4966 1
Mo2 Mo 0.0000 0.0000 0.7626 1

***

[6]
# CaMn2Mo (GGA-PBE, optimized geometry)
# DFT formation energy	365.7	meV per atom
# energy relative to the lowest polymorph listed for this composition	0	meV per atom
data_CaMn2Mo
_space_group_name_H-M_alt 'P 4/m m m'
_space_group_IT_number 123
_space_group_name_Hall '-P 4 2'
_cell_length_a 3.178
_cell_length_b 3.178
_cell_length_c 7.217
_cell_angle_alpha 90.00
_cell_angle_beta 90.00
_cell_angle_gamma 90.00
loop_
_atom_site_label
_atom_site_type_symbol
_atom_site_fract_x
_atom_site_fract_y
_atom_site_fract_z
_atom_site_occupancy
Ca1 Ca 0.000 0.000 0.000 1
Mn1 Mn 0.500 0.500 0.320 1
Mo1 Mo 0.000 0.000 0.500 1

***

[7]
# CaMnMo2 (GGA-PBE, optimized geometry)
# DFT formation energy	545.0	meV per atom
# energy relative to the lowest polymorph listed for this composition	111	meV per atom
data_CaMnMo2
_space_group_name_H-M_alt 'C m m 2'
_space_group_IT_number 35
_space_group_name_Hall 'C 2 -2'
_cell_length_a 3.292
_cell_length_b 4.644
_cell_length_c 9.358
_cell_angle_alpha 90.00
_cell_angle_beta 90.00
_cell_angle_gamma 90.00
loop_
_atom_site_label
_atom_site_type_symbol
_atom_site_fract_x
_atom_site_fract_y
_atom_site_fract_z
_atom_site_occupancy
Ca1 Ca 0.000 0.000 0.000 1
Mn1 Mn 0.000 0.500 0.719 1
Mo1 Mo 0.000 0.000 0.508 1
Mo2 Mo 0.000 0.500 0.286 1

***

[8]
# CaMnMo2 (GGA-PBE, optimized geometry)
# DFT formation energy	619.4	meV per atom
# energy relative to the lowest polymorph listed for this composition	185	meV per atom
data_CaMnMo2
_space_group_name_H-M_alt 'C 1 m 1'
_space_group_IT_number 8
_space_group_name_Hall 'C -2y'
_cell_length_a 9.465
_cell_length_b 3.152
_cell_length_c 5.534
_cell_angle_alpha 90.00
_cell_angle_beta 107.11
_cell_angle_gamma 90.00
loop_
_atom_site_label
_atom_site_type_symbol
_atom_site_fract_x
_atom_site_fract_y
_atom_site_fract_z
_atom_site_occupancy
Ca1 Ca 0.000 0.000 0.000 1
Mn1 Mn 0.225 0.000 0.654 1
Mo1 Mo 0.010 0.500 0.514 1
Mo2 Mo 0.292 0.500 0.363 1

***

[9]
# CaMnMo2 (GGA-PBE, optimized geometry)
# DFT formation energy	746.9	meV per atom
# energy relative to the lowest polymorph listed for this composition	313	meV per atom
data_CaMnMo2
_space_group_name_H-M_alt 'C m m m'
_space_group_IT_number 65
_space_group_name_Hall '-C 2 2'
_cell_length_a 5.417
_cell_length_b 9.676
_cell_length_c 2.687
_cell_angle_alpha 90.00
_cell_angle_beta 90.00
_cell_angle_gamma 90.00
loop_
_atom_site_label
_atom_site_type_symbol
_atom_site_fract_x
_atom_site_fract_y
_atom_site_fract_z
_atom_site_occupancy
Ca1 Ca 0.000 0.000 0.000 1
Mn1 Mn 0.000 0.500 0.000 1
Mo1 Mo 0.250 0.250 0.500 1

***

[10]
# CaMn2Mo (GGA-PBE, optimized geometry)
# DFT formation energy	682.2	meV per atom
# energy relative to the lowest polymorph listed for this composition	316	meV per atom
data_CaMn2Mo
_space_group_name_H-M_alt 'R -3 m'
_space_group_IT_number 166
_space_group_name_Hall '-R 3 2"'
_cell_length_a 3.0799
_cell_length_b 3.0799
_cell_length_c 26.5904
_cell_angle_alpha 90.00
_cell_angle_beta 90.00
_cell_angle_gamma 120.00
loop_
_atom_site_label
_atom_site_type_symbol
_atom_site_fract_x
_atom_site_fract_y
_atom_site_fract_z
_atom_site_occupancy
Ca1 Ca 0.0000 0.0000 0.0000 1
Mn1 Mn 0.0000 0.0000 0.2357 1
Mo1 Mo 0.0000 0.0000 0.5000 1

***

[11]
# CaMn2Mo (GGA-PBE, optimized geometry)
# DFT formation energy	596.2	meV per atom
# energy relative to the lowest polymorph listed for this composition	231	meV per atom
data_CaMn2Mo
_space_group_name_H-M_alt 'I m m 2'
_space_group_IT_number 44
_space_group_name_Hall 'I 2 -2'
_cell_length_a 2.963
_cell_length_b 4.926
_cell_length_c 9.465
_cell_angle_alpha 90.00
_cell_angle_beta 90.00
_cell_angle_gamma 90.00
loop_
_atom_site_label
_atom_site_type_symbol
_atom_site_fract_x
_atom_site_fract_y
_atom_site_fract_z
_atom_site_occupancy
Ca1 Ca 0.000 0.000 0.000 1
Mn1 Mn 0.000 0.000 0.512 1
Mn2 Mn 0.000 0.500 0.789 1
Mo1 Mo 0.000 0.500 0.211 1

***

[12]
# CaMnMo2 (GGA-PBE, optimized geometry)
# DFT formation energy	994.3	meV per atom
# energy relative to the lowest polymorph listed for this composition	560	meV per atom
data_CaMnMo2
_space_group_name_H-M_alt 'P 4/m m m'
_space_group_IT_number 123
_space_group_name_Hall '-P 4 2'
_cell_length_a 4.985
_cell_length_b 4.985
_cell_length_c 2.767
_cell_angle_alpha 90.00
_cell_angle_beta 90.00
_cell_angle_gamma 90.00
loop_
_atom_site_label
_atom_site_type_symbol
_atom_site_fract_x
_atom_site_fract_y
_atom_site_fract_z
_atom_site_occupancy
Ca1 Ca 0.000 0.000 0.000 1
Mn1 Mn 0.500 0.500 0.000 1
Mo1 Mo 0.000 0.500 0.500 1

***

[13]
# Ca4MnMo (GGA-PBE, optimized geometry)
# DFT formation energy	1160.2	meV per atom
data_Ca4MnMo
_space_group_name_H-M_alt 'F -4 3 m'
_space_group_IT_number 216
_space_group_name_Hall 'F -4 2 3'
_cell_length_a 9.137
_cell_length_b 9.137
_cell_length_c 9.137
_cell_angle_alpha 90.00
_cell_angle_beta 90.00
_cell_angle_gamma 90.00
loop_
_atom_site_label
_atom_site_type_symbol
_atom_site_fract_x
_atom_site_fract_y
_atom_site_fract_z
_atom_site_occupancy
Ca1 Ca 0.125 0.125 0.125 1
Mn1 Mn 0.250 0.250 0.750 1
Mo1 Mo 0.000 0.000 0.500 1

***

[14]
# CaMnMo2 (GGA-PBE, optimized geometry)
# DFT formation energy	706.1	meV per atom
# energy relative to the lowest polymorph listed for this composition	272	meV per atom
data_CaMnMo2
_space_group_name_H-M_alt 'C 1 2/m 1'
_space_group_IT_number 12
_space_group_name_Hall '-C 2y'
_cell_length_a 5.437
_cell_length_b 9.762
_cell_length_c 2.702
_cell_angle_alpha 90.00
_cell_angle_beta 104.78
_cell_angle_gamma 90.00
loop_
_atom_site_label
_atom_site_type_symbol
_atom_site_fract_x
_atom_site_fract_y
_atom_site_fract_z
_atom_site_occupancy
Ca1 Ca 0.000 0.000 0.000 1
Mn1 Mn 0.000 0.500 0.000 1
Mo1 Mo 0.250 0.250 0.500 1

***

[15]
# CaMn2Mo (GGA-PBE, optimized geometry)
# DFT formation energy	1011.8	meV per atom
# energy relative to the lowest polymorph listed for this composition	646	meV per atom
data_CaMn2Mo
_space_group_name_H-M_alt 'I 41/a m d'
_space_group_IT_number 141
_cell_length_a 4.628
_cell_length_b 4.628
_cell_length_c 16.170
_cell_angle_alpha 90.00
_cell_angle_beta 90.00
_cell_angle_gamma 90.00
loop_
_space_group_symop_operation_xyz
'x,y,z'
'-x,-y,-z'
'-y+1/4,x+3/4,z+1/4'
'y+1/4,-x+3/4,-z+1/4'
'-x+1/2,-y,z+1/2'
'x+1/2,y,-z+1/2'
'y+1/4,-x+1/4,z+3/4'
'-y+1/4,x+1/4,-z+3/4'
'x,-y,-z'
'-x,y,z'
'-y+1/4,-x+1/4,-z+3/4'
'y+1/4,x+1/4,z+3/4'
'-x+1/2,y,-z+1/2'
'x+1/2,-y,z+1/2'
'y+1/4,x+3/4,-z+1/4'
'-y+1/4,-x+3/4,z+1/4'
'x+1/2,y+1/2,z+1/2'
'-x+1/2,-y+1/2,-z+1/2'
'-y+3/4,x+1/4,z+3/4'
'y+3/4,-x+1/4,-z+3/4'
'-x,-y+1/2,z'
'x,y+1/2,-z'
'y+3/4,-x+3/4,z+1/4'
'-y+3/4,x+3/4,-z+1/4'
'x+1/2,-y+1/2,-z+1/2'
'-x+1/2,y+1/2,z+1/2'
'-y+3/4,-x+3/4,-z+1/4'
'y+3/4,x+3/4,z+1/4'
'-x,y+1/2,-z'
'x,-y+1/2,z'
'y+3/4,x+1/4,-z+3/4'
'-y+3/4,-x+1/4,z+3/4'
loop_
_atom_site_label
_atom_site_type_symbol
_atom_site_fract_x
_atom_site_fract_y
_atom_site_fract_z
_atom_site_occupancy
Ca1 Ca 0.000 0.250 0.375 1
Mn1 Mn 0.000 0.000 0.000 1
Mo1 Mo 0.000 0.250 0.875 1

***

[16]
# CaMn2Mo (GGA-PBE, optimized geometry)
# DFT formation energy	621.5	meV per atom
# energy relative to the lowest polymorph listed for this composition	256	meV per atom
data_CaMn2Mo
_space_group_name_H-M_alt 'F m -3 m'
_space_group_IT_number 225
_space_group_name_Hall '-F 4 2 3'
_cell_length_a 6.566
_cell_length_b 6.566
_cell_length_c 6.566
_cell_angle_alpha 90.00
_cell_angle_beta 90.00
_cell_angle_gamma 90.00
loop_
_atom_site_label
_atom_site_type_symbol
_atom_site_fract_x
_atom_site_fract_y
_atom_site_fract_z
_atom_site_occupancy
Ca1 Ca 0.000 0.000 0.000 1
Mn1 Mn 0.250 0.250 0.250 1
Mo1 Mo 0.000 0.000 0.500 1

***

[17]
# CaMnMo3 (GGA-PBE, optimized geometry)
# DFT formation energy	3006.5	meV per atom
# energy relative to the lowest polymorph listed for this composition	2042	meV per atom
data_CaMnMo3
_space_group_name_H-M_alt 'P m -3 m'
_space_group_IT_number 221
_space_group_name_Hall '-P 4 2 3'
_cell_length_a 4.514
_cell_length_b 4.514
_cell_length_c 4.514
_cell_angle_alpha 90.00
_cell_angle_beta 90.00
_cell_angle_gamma 90.00
loop_
_atom_site_label
_atom_site_type_symbol
_atom_site_fract_x
_atom_site_fract_y
_atom_site_fract_z
_atom_site_occupancy
Ca1 Ca 0.000 0.000 0.000 1
Mn1 Mn 0.500 0.500 0.500 1
Mo1 Mo 0.000 0.000 0.500 1

***

[18]
# CaMnMo2 (GGA-PBE, optimized geometry)
# DFT formation energy	649.5	meV per atom
# energy relative to the lowest polymorph listed for this composition	215	meV per atom
data_CaMnMo2
_space_group_name_H-M_alt 'I m m 2'
_space_group_IT_number 44
_space_group_name_Hall 'I 2 -2'
_cell_length_a 3.306
_cell_length_b 5.003
_cell_length_c 9.239
_cell_angle_alpha 90.00
_cell_angle_beta 90.00
_cell_angle_gamma 90.00
loop_
_atom_site_label
_atom_site_type_symbol
_atom_site_fract_x
_atom_site_fract_y
_atom_site_fract_z
_atom_site_occupancy
Ca1 Ca 0.000 0.000 0.000 1
Mn1 Mn 0.000 0.500 0.223 1
Mo1 Mo 0.000 0.000 0.470 1
Mo2 Mo 0.000 0.500 0.778 1

***

[19]
# CaMn3Mo (GGA-PBE, optimized geometry)
# DFT formation energy	2441.6	meV per atom
# energy relative to the lowest polymorph listed for this composition	1592	meV per atom
data_CaMn3Mo
_space_group_name_H-M_alt 'P m -3 m'
_space_group_IT_number 221
_space_group_name_Hall '-P 4 2 3'
_cell_length_a 4.209
_cell_length_b 4.209
_cell_length_c 4.209
_cell_angle_alpha 90.00
_cell_angle_beta 90.00
_cell_angle_gamma 90.00
loop_
_atom_site_label
_atom_site_type_symbol
_atom_site_fract_x
_atom_site_fract_y
_atom_site_fract_z
_atom_site_occupancy
Ca1 Ca 0.000 0.000 0.000 1
Mn1 Mn 0.000 0.000 0.500 1
Mo1 Mo 0.500 0.500 0.500 1

***

[20]
# CaMnMo2 (GGA-PBE, optimized geometry)
# DFT formation energy	756.4	meV per atom
# energy relative to the lowest polymorph listed for this composition	322	meV per atom
data_CaMnMo2
_space_group_name_H-M_alt 'I 4/m m m'
_space_group_IT_number 139
_space_group_name_Hall '-I 4 2'
_cell_length_a 3.874
_cell_length_b 3.874
_cell_length_c 9.494
_cell_angle_alpha 90.00
_cell_angle_beta 90.00
_cell_angle_gamma 90.00
loop_
_atom_site_label
_atom_site_type_symbol
_atom_site_fract_x
_atom_site_fract_y
_atom_site_fract_z
_atom_site_occupancy
Ca1 Ca 0.000 0.000 0.000 1
Mn1 Mn 0.000 0.000 0.500 1
Mo1 Mo 0.000 0.500 0.250 1

***

[21]
# CaMnMo2 (GGA-PBE, optimized geometry)
# DFT formation energy	1219.8	meV per atom
# energy relative to the lowest polymorph listed for this composition	786	meV per atom
data_CaMnMo2
_space_group_name_H-M_alt 'I -4 2 d'
_space_group_IT_number 122
_space_group_name_Hall 'I -4 2bw'
_cell_length_a 4.832
_cell_length_b 4.832
_cell_length_c 16.259
_cell_angle_alpha 90.00
_cell_angle_beta 90.00
_cell_angle_gamma 90.00
loop_
_atom_site_label
_atom_site_type_symbol
_atom_site_fract_x
_atom_site_fract_y
_atom_site_fract_z
_atom_site_occupancy
Ca1 Ca 0.000 0.000 0.000 1
Mn1 Mn 0.000 0.000 0.500 1
Mo1 Mo 0.015 0.250 0.625 1

***

[22]
# CaMnMo2 (GGA-PBE, optimized geometry)
# DFT formation energy	725.6	meV per atom
# energy relative to the lowest polymorph listed for this composition	291	meV per atom
data_CaMnMo2
_space_group_name_H-M_alt 'P m m m'
_space_group_IT_number 47
_space_group_name_Hall '-P 2 2'
_cell_length_a 3.332
_cell_length_b 4.378
_cell_length_c 4.859
_cell_angle_alpha 90.00
_cell_angle_beta 90.00
_cell_angle_gamma 90.00
loop_
_atom_site_label
_atom_site_type_symbol
_atom_site_fract_x
_atom_site_fract_y
_atom_site_fract_z
_atom_site_occupancy
Ca1 Ca 0.000 0.000 0.000 1
Mn1 Mn 0.500 0.500 0.000 1
Mo1 Mo 0.000 0.500 0.500 1
Mo2 Mo 0.500 0.000 0.500 1

***

[23]
# Ca2MnMoN5 (GGA-PBE, optimized geometry)
# formation energy from raw total energies	-569.2	meV/atom
data_Ca2MnMoN5
_space_group_name_H-M_alt 'C m c 21'
_space_group_IT_number 36
_space_group_name_Hall 'C 2c -2'
_cell_length_a 3.128
_cell_length_b 14.509
_cell_length_c 10.027
_cell_angle_alpha 90.00
_cell_angle_beta 90.00
_cell_angle_gamma 90.00
loop_
_atom_site_label
_atom_site_type_symbol
_atom_site_fract_x
_atom_site_fract_y
_atom_site_fract_z
_atom_site_occupancy
Ca1 Ca 0.000 0.123 0.000 1
Ca2 Ca 0.000 0.130 0.626 1
Mn1 Mn 0.000 0.449 0.746 1
Mo1 Mo 0.000 0.214 0.338 1
N1 N 0.000 0.044 0.331 1
N2 N 0.000 0.296 0.968 1
N3 N 0.000 0.325 0.699 1
N4 N 0.000 0.337 0.315 1
N5 N 0.000 0.499 0.598 1